No. 1
! La3Pm2SmDy6 PBE-GGA relaxed; values from VASP
! DFT formation energy in meV per atom: 13.8
! ρ in Mg/m³: 7.60
&SYSTEM
  ibrav = 0, nat = 12, ntyp = 4
/
ATOMIC_SPECIES
La 138.91 La.upf
Pm 145.00 Pm.upf
Sm 150.36 Sm.upf
Dy 162.50 Dy.upf
CELL_PARAMETERS angstrom
3.144 -5.448 0.000
3.144 5.448 0.000
-2.093 0.000 11.693
ATOMIC_POSITIONS crystal
La 0.000 0.000 0.000
La 0.333 0.667 0.000
La 0.667 0.333 0.000
Pm 0.167 0.833 0.500
Pm 0.833 0.167 0.500
Sm 0.500 0.500 0.500
Dy 0.085 0.418 0.253
Dy 0.249 0.249 0.747
Dy 0.418 0.085 0.253
Dy 0.582 0.915 0.747
Dy 0.751 0.751 0.253
Dy 0.915 0.582 0.747

No. 2
! La2PmSmDy4 PBE-GGA relaxed; values from VASP
! DFT formation energy in meV per atom: 17.1
! ρ in Mg/m³: 7.61
&SYSTEM
  ibrav = 0, nat = 8, ntyp = 4
/
ATOMIC_SPECIES
La 138.91 La.upf
Pm 145.00 Pm.upf
Sm 150.36 Sm.upf
Dy 162.50 Dy.upf
CELL_PARAMETERS angstrom
6.270 0.000 0.000
0.000 3.632 0.000
-2.116 0.000 11.719
ATOMIC_POSITIONS crystal
La 0.000 0.000 0.000
La 0.000 0.500 0.500
Pm 0.500 0.000 0.500
Sm 0.500 0.500 0.000
Dy 0.250 0.500 0.250
Dy 0.251 0.000 0.751
Dy 0.749 0.000 0.249
Dy 0.750 0.500 0.750

No. 3
! La2PmSm2Dy PBE-GGA relaxed; values from VASP
! DFT formation energy in meV per atom: 237.1
! ρ in Mg/m³: 6.93
&SYSTEM
  ibrav = 0, nat = 12, ntyp = 4
/
ATOMIC_SPECIES
La 138.91 La.upf
Pm 145.00 Pm.upf
Sm 150.36 Sm.upf
Dy 162.50 Dy.upf
CELL_PARAMETERS angstrom
6.733 0.000 0.000
0.000 18.267 0.000
0.000 0.000 3.454
ATOMIC_POSITIONS crystal
La 0.229 0.185 0.000
La 0.271 0.685 0.500
La 0.729 0.315 0.500
La 0.771 0.815 0.000
Pm 0.000 0.500 0.000
Pm 0.500 0.000 0.500
Sm 0.225 0.355 0.500
Sm 0.275 0.855 0.000
Sm 0.725 0.145 0.000
Sm 0.775 0.645 0.500
Dy 0.000 0.000 0.000
Dy 0.500 0.500 0.500

No. 4
! LaPm2Sm6Dy3 PBE-GGA relaxed; values from VASP
! DFT formation energy in meV per atom: 17.7
! ρ in Mg/m³: 7.48
&SYSTEM
  ibrav = 0, nat = 12, ntyp = 4
/
ATOMIC_SPECIES
La 138.91 La.upf
Pm 145.00 Pm.upf
Sm 150.36 Sm.upf
Dy 162.50 Dy.upf
CELL_PARAMETERS angstrom
3.139 -5.437 0.000
3.139 5.437 0.000
-2.095 0.000 11.828
ATOMIC_POSITIONS crystal
La 0.000 0.000 0.000
Pm 0.334 0.666 0.000
Pm 0.666 0.334 0.000
Sm 0.085 0.419 0.254
Sm 0.249 0.249 0.746
Sm 0.419 0.085 0.254
Sm 0.581 0.915 0.746
Sm 0.751 0.751 0.254
Sm 0.915 0.581 0.746
Dy 0.167 0.833 0.500
Dy 0.500 0.500 0.500
Dy 0.833 0.167 0.500

No. 5
! LaPm4Sm2Dy2 PBE-GGA relaxed; values from VASP
! DFT formation energy in meV per atom: 18.8
! ρ in Mg/m³: 7.32
&SYSTEM
  ibrav = 0, nat = 9, ntyp = 4
/
ATOMIC_SPECIES
La 138.91 La.upf
Pm 145.00 Pm.upf
Sm 150.36 Sm.upf
Dy 162.50 Dy.upf
CELL_PARAMETERS angstrom
7.711 -2.570 0.000
7.711 2.570 0.000
-2.573 0.000 7.699
ATOMIC_POSITIONS crystal
La 0.000 0.000 0.000
Pm 0.222 0.222 0.331
Pm 0.444 0.444 0.666
Pm 0.556 0.556 0.334
Pm 0.778 0.778 0.669
Sm 0.111 0.111 0.666
Sm 0.889 0.889 0.334
Dy 0.331 0.331 0.001
Dy 0.669 0.669 0.999

No. 6
! La2PmSm5Dy PBE-GGA relaxed; values from VASP
! DFT formation energy in meV per atom: 249.0
! ρ in Mg/m³: 7.15
&SYSTEM
  ibrav = 0, nat = 18, ntyp = 4
/
ATOMIC_SPECIES
La 138.91 La.upf
Pm 145.00 Pm.upf
Sm 150.36 Sm.upf
Dy 162.50 Dy.upf
CELL_PARAMETERS angstrom
-4.370 4.370 8.129
4.370 -4.370 8.129
4.370 4.370 -8.129
ATOMIC_POSITIONS crystal
La 0.119 0.619 0.738
La 0.381 0.119 0.500
La 0.619 0.881 0.500
La 0.881 0.381 0.262
Pm 0.250 0.250 0.000
Pm 0.750 0.750 0.000
Sm 0.000 0.000 0.000
Sm 0.075 0.141 0.500
Sm 0.141 0.641 0.066
Sm 0.359 0.425 0.500
Sm 0.425 0.925 0.066
Sm 0.500 0.500 0.000
Sm 0.575 0.075 0.934
Sm 0.641 0.575 0.500
Sm 0.859 0.359 0.934
Sm 0.925 0.859 0.500
Dy 0.250 0.750 0.500
Dy 0.750 0.250 0.500

No. 7
! La2Pm3Sm6Dy PBE-GGA relaxed; values from VASP
! DFT formation energy in meV per atom: 16.4
! ρ in Mg/m³: 7.16
&SYSTEM
  ibrav = 0, nat = 12, ntyp = 4
/
ATOMIC_SPECIES
La 138.91 La.upf
Pm 145.00 Pm.upf
Sm 150.36 Sm.upf
Dy 162.50 Dy.upf
CELL_PARAMETERS angstrom
3.161 -5.475 0.000
3.161 5.475 0.000
-2.117 0.000 11.914
ATOMIC_POSITIONS crystal
La 0.167 0.833 0.000
La 0.833 0.167 0.000
Pm 0.000 0.000 0.500
Pm 0.334 0.666 0.500
Pm 0.666 0.334 0.500
Sm 0.085 0.416 0.749
Sm 0.252 0.252 0.251
Sm 0.416 0.085 0.749
Sm 0.584 0.915 0.251
Sm 0.748 0.748 0.749
Sm 0.915 0.584 0.251
Dy 0.500 0.500 0.000

No. 8
! La3Pm6Sm2Dy PBE-GGA relaxed; values from VASP
! DFT formation energy in meV per atom: 17.8
! ρ in Mg/m³: 6.96
&SYSTEM
  ibrav = 0, nat = 12, ntyp = 4
/
ATOMIC_SPECIES
La 138.91 La.upf
Pm 145.00 Pm.upf
Sm 150.36 Sm.upf
Dy 162.50 Dy.upf
CELL_PARAMETERS angstrom
3.173 -5.499 0.000
3.173 5.499 0.000
-2.134 0.000 11.969
ATOMIC_POSITIONS crystal
La 0.000 0.000 0.000
La 0.333 0.667 0.000
La 0.667 0.333 0.000
Pm 0.086 0.418 0.254
Pm 0.249 0.249 0.746
Pm 0.418 0.086 0.254
Pm 0.582 0.914 0.746
Pm 0.751 0.751 0.254
Pm 0.914 0.582 0.746
Sm 0.167 0.833 0.500
Sm 0.833 0.167 0.500
Dy 0.500 0.500 0.500

No. 9
! La6PmSm2Dy PBE-GGA relaxed; values from VASP
! DFT formation energy in meV per atom: 183.6
! ρ in Mg/m³: 6.69
&SYSTEM
  ibrav = 0, nat = 10, ntyp = 4
/
ATOMIC_SPECIES
La 138.91 La.upf
Pm 145.00 Pm.upf
Sm 150.36 Sm.upf
Dy 162.50 Dy.upf
CELL_PARAMETERS angstrom
5.766 -3.503 0.000
5.766 3.503 0.000
-2.800 0.000 8.864
ATOMIC_POSITIONS crystal
La 0.071 0.535 0.195
La 0.129 0.129 0.422
La 0.465 0.929 0.805
La 0.535 0.071 0.195
La 0.871 0.871 0.578
La 0.929 0.465 0.805
Pm 0.500 0.500 0.500
Sm 0.427 0.427 0.830
Sm 0.573 0.573 0.170
Dy 0.000 0.000 0.000

No. 10
! LaPm6Sm2Dy3 PBE-GGA relaxed; values from VASP
! DFT formation energy in meV per atom: 17.0
! ρ in Mg/m³: 7.35
&SYSTEM
  ibrav = 0, nat = 12, ntyp = 4
/
ATOMIC_SPECIES
La 138.91 La.upf
Pm 145.00 Pm.upf
Sm 150.36 Sm.upf
Dy 162.50 Dy.upf
CELL_PARAMETERS angstrom
3.147 -5.451 0.000
3.147 5.451 0.000
-2.100 0.000 11.836
ATOMIC_POSITIONS crystal
La 0.000 0.000 0.000
Pm 0.085 0.419 0.254
Pm 0.249 0.249 0.746
Pm 0.419 0.085 0.254
Pm 0.581 0.915 0.746
Pm 0.751 0.751 0.254
Pm 0.915 0.581 0.746
Sm 0.333 0.667 0.000
Sm 0.667 0.333 0.000
Dy 0.167 0.833 0.500
Dy 0.500 0.500 0.500
Dy 0.833 0.167 0.500

No. 11
! La2Pm2Sm4Dy PBE-GGA relaxed; values from VASP
! DFT formation energy in meV per atom: 8.1
! ρ in Mg/m³: 7.12
&SYSTEM
  ibrav = 0, nat = 9, ntyp = 4
/
ATOMIC_SPECIES
La 138.91 La.upf
Pm 145.00 Pm.upf
Sm 150.36 Sm.upf
Dy 162.50 Dy.upf
CELL_PARAMETERS angstrom
9.552 -1.843 0.000
9.552 1.843 0.000
-4.235 0.000 8.818
ATOMIC_POSITIONS crystal
La 0.165 0.165 0.499
La 0.835 0.835 0.501
Pm 0.353 0.353 0.835
Pm 0.647 0.647 0.165
Sm 0.019 0.019 0.832
Sm 0.315 0.315 0.165
Sm 0.685 0.685 0.835
Sm 0.981 0.981 0.168
Dy 0.500 0.500 0.500

No. 12
! LaPmSm2Dy2 PBE-GGA relaxed; values from VASP
! DFT formation energy in meV per atom: 260.9
! ρ in Mg/m³: 7.31
&SYSTEM
  ibrav = 0, nat = 12, ntyp = 4
/
ATOMIC_SPECIES
La 138.91 La.upf
Pm 145.00 Pm.upf
Sm 150.36 Sm.upf
Dy 162.50 Dy.upf
CELL_PARAMETERS angstrom
6.616 0.000 0.000
0.000 18.247 0.000
0.000 0.000 3.425
ATOMIC_POSITIONS crystal
La 0.000 0.000 0.000
La 0.500 0.500 0.500
Pm 0.000 0.500 0.000
Pm 0.500 0.000 0.500
Sm 0.218 0.188 0.000
Sm 0.282 0.688 0.500
Sm 0.718 0.312 0.500
Sm 0.782 0.812 0.000
Dy 0.216 0.352 0.500
Dy 0.284 0.852 0.000
Dy 0.716 0.148 0.000
Dy 0.784 0.648 0.500

| no. | final energy (eV per atom) |
| --- | --- |
| 1 | -4.70 |
| 2 | -4.70 |
| 3 | -4.54 |
| 4 | -4.69 |
| 5 | -4.71 |
| 6 | -4.51 |
| 7 | -4.74 |
| 8 | -4.76 |
| 9 | -4.65 |
| 10 | -4.71 |
| 11 | -4.75 |
| 12 | -4.46 |